A plane-wave DFT calculation with PBE-GGA was carried out for an optimized crystal structure of TlCr2N.

POSCAR file:
```
TlCr2N
1.0
5.576 0.000 0.000
0.000 5.576 0.000
0.000 0.000 9.224
Tl Cr N
4 8 4
direct
0.000 0.000 0.000 Tl
0.000 0.500 0.250 Tl
0.500 0.000 0.750 Tl
0.500 0.500 0.500 Tl
0.099 0.250 0.625 Cr
0.250 0.599 0.875 Cr
0.250 0.901 0.375 Cr
0.401 0.250 0.125 Cr
0.599 0.750 0.125 Cr
0.750 0.099 0.375 Cr
0.750 0.401 0.875 Cr
0.901 0.750 0.625 Cr
0.000 0.000 0.500 N
0.000 0.500 0.750 N
0.500 0.000 0.250 N
0.500 0.500 0.000 N
```

Total magnetic moment = 1.493 μB per atom
Energy = -7.241 eV/atom
Raw formation energy = 244 meV per atom
Density of states at the Fermi level = 0.47 states/eV/atom